meta-GGA SCAN TaIn2Tc2, single point on PBEsol structure; VASP energy = -1.4731 hartree per atom; total moment = 0.00 μB/cell
1.0
3.681 0.000 0.000
0.000 3.681 0.000
0.000 0.000 13.669
Ta In Tc
2 4 4
direct
0.000 0.000 0.000 Ta
0.500 0.500 0.500 Ta
0.000 0.500 0.250 In
0.000 0.500 0.750 In
0.500 0.000 0.250 In
0.500 0.000 0.750 In
0.000 0.000 0.411 Tc
0.000 0.000 0.589 Tc
0.500 0.500 0.089 Tc
0.500 0.500 0.911 Tc